5
Lattice="7.037 0.000 0.000 0.000 7.037 0.000 0.000 0.000 7.037" Properties=species:S:1:pos:R:3 comment="K3LaB (PBE, relaxed)" energy_ev_per_cell=-5.44 crystal_system=cubic spacegroup=Pm-3m de_polymorph_mev_per_atom=702 e_form_ev_per_atom=1.892 pbc="T T T"
K 0.000 3.519 0.000
K 0.000 0.000 3.519
K 3.519 0.000 0.000
B 3.519 3.519 3.519
La 0.000 0.000 0.000



9
Lattice="-3.418 2.382 -2.903 -5.898 -4.157 3.533 2.829 5.232 5.402" Properties=species:S:1:pos:R:3 comment="Pm4Y3Er2 (PBE, relaxed)" energy_ev_per_cell=-47.34 crystal_system=monoclinic spacegroup=C2/m de_polymorph_mev_per_atom=0 e_form_ev_per_atom=0.020 pbc="T T T"
Pm -3.538 0.521 0.153
Pm -5.028 1.978 3.103
Pm -2.948 2.936 5.880
Pm -1.458 1.479 2.930
Y -2.792 4.801 2.787
Y -3.694 -1.345 3.246
Y 0.000 0.000 0.000
Er -5.153 0.114 6.160
Er -1.334 3.343 -0.128



3
Lattice="-3.020 1.977 -1.315 -2.757 -1.652 3.846 2.603 4.262 0.431" Properties=species:S:1:pos:R:3 comment="PrTmZn (PBE, relaxed)" energy_ev_per_cell=-10.69 crystal_system=trigonal spacegroup=P3m1 de_polymorph_mev_per_atom=144 e_form_ev_per_atom=-0.054 pbc="T T T"
Pr -2.980 1.635 1.833
Zn 0.301 2.628 1.345
Tm -0.495 0.324 -0.216